First-principles (PBE+U) data for an optimized crystal structure of NbTlCoF2, as listed in the Alexandria database.

E_tot: -3.68 eV per atom
ρ: 6.856 g/cm3
symmetry: P4/mmm (123)

Unit cell a=4.203 b=4.203 c=5.405 alpha=90.00 beta=90.00 gamma=90.00
Positions (direct):
Nb (0.000, 0.000, 0.000)
Tl (0.500, 0.500, 0.500)
Co (0.500, 0.500, 0.000)
F (0.000, 0.500, 0.500)
F (0.500, 0.000, 0.500)